1.
A crystal of BeOsPt2 relaxed with PBEsol, computed with SCAN. Values from VASP.

Calculated values
- VASP energy: -54.2864 eV/atom
- Total magnetization: 0.000 μB per atom
- V: 13.51 A^3/atom
- ΔE_f: -0.13 eV per atom
- Space group: No. 6
- Crystal system: monoclinic

The structure in Quantum ESPRESSO input format:
```
&SYSTEM
  ibrav = 0, nat = 4, ntyp = 3
/
ATOMIC_SPECIES
Be 9.01 Be.upf
Os 190.23 Os.upf
Pt 195.08 Pt.upf
CELL_PARAMETERS angstrom
2.685 0.000 0.000
0.000 4.325 0.000
0.000 0.000 4.655
ATOMIC_POSITIONS angstrom
Be 0.000 0.000 0.000
Os 0.005 2.162 3.065
Pt 1.348 0.000 2.379
Pt 1.347 2.162 0.686
```


2.
A crystal of Be2SiOsPt relaxed with PBEsol, computed with SCAN. Values from VASP.

Calculated values
- VASP energy: -31.1667 eV/atom
- Total magnetization: 0.000 μB per atom
- V: 16.75 A^3/atom
- Space group: No. 123
- Uncorrected formation energy: 0.992 eV/atom
- Crystal system: tetragonal

The structure in Quantum ESPRESSO input format:
```
&SYSTEM
  ibrav = 0, nat = 5, ntyp = 4
/
ATOMIC_SPECIES
Be 9.01 Be.upf
Si 28.09 Si.upf
Os 190.23 Os.upf
Pt 195.08 Pt.upf
CELL_PARAMETERS angstrom
4.174 0.000 0.000
0.000 4.174 0.000
0.000 0.000 4.807
ATOMIC_POSITIONS angstrom
Be 0.000 2.087 0.000
Be 2.087 0.000 0.000
Si 0.000 0.000 2.403
Os 2.087 2.087 0.000
Pt 2.087 2.087 2.403
```


The lowest VASP energy belongs to which entry?
BeOsPt2


Which value of total magnetization does entry 2 give?
0.000 μB per atom


What is the formula in the first record?
BeOsPt2